[1]
Below is a relaxed structure of PmY4Ho2Mg, with properties calculated at the PBE-GGA level.

The total energy is -5.073 eV per atom. The density of states at the Fermi level is 16.1 states/eV/cell. For the energy of formation from the pure elements, the calculation gives 0.096 eV per atom. The space group is No. 123.

Lattice parameters (Å, degrees): 5.7725 9.4782 5.7724 52.51 90.00 90.00
Last column: nearest neighbours and their distance in Å.
Fractional coordinates of all 8 atoms:
Y (0.0000, 0.2551, 0.2451)  2 Mg 3.42-3.43, 2 Pm 3.42, 4 Ho 3.47, 1 Y 3.68
Y (0.5000, 0.2551, 0.7446)  2 Pm 3.42, 2 Mg 3.42, 4 Ho 3.46-3.47, 1 Y 3.68
Y (0.5000, 0.7449, 0.2554)  2 Pm 3.42, 2 Mg 3.42, 4 Ho 3.46-3.47, 1 Y 3.68
Y (0.0000, 0.7449, 0.7549)  2 Mg 3.42-3.43, 2 Pm 3.42, 4 Ho 3.47, 1 Y 3.68
Ho (0.5000, 0.0000, 0.5000)  8 Y 3.46-3.47, 2 Pm 3.76
Ho (0.0000, 0.0000, 0.0000)  8 Y 3.47, 2 Mg 3.76
Pm (0.5000, 0.5000, 0.0000)  8 Y 3.42, 2 Ho 3.76
Mg (0.0000, 0.5000, 0.5000)  8 Y 3.42-3.43, 2 Ho 3.76

***

[2]
Below is a relaxed structure of HfTi2NbO, with properties calculated at the PBE-GGA level.

As for the formation energy from raw total energies: -4.8 eV/f.u. The offset from the most stable computed form is 87.5 meV/atom. The total energy is -9.118 eV per atom. The density of states at the Fermi level is 4.3 states/eV/cell. The space group is No. 123.

Lattice parameters (Å, degrees): 4.1740 4.1740 4.4820 90.00 90.00 90.00
Last column: nearest neighbours and their distance in Å.
Fractional coordinates of all 5 atoms:
Nb (0.0000, 0.0000, 0.5000)  2 O 2.24
O (0.0000, 0.0000, 0.0000)  4 Ti 2.09, 2 Nb 2.24
Hf (0.5000, 0.5000, 0.5000)  4 Nb 2.95, 8 Ti 3.06
Ti (0.5000, 0.0000, 0.0000)  2 O 2.09
Ti (0.0000, 0.5000, 0.0000)  2 O 2.09

***

[3]
Below is a relaxed structure of LiCe2Sn2H, with properties calculated at the PBE-GGA level.

The total energy is -4.628 eV per atom. The density of states at the Fermi level is 15.3 states/eV/cell. The space group is No. 72.

Lattice parameters (Å, degrees): 6.9798 6.2193 7.8535 113.33 116.38 90.00
Last column: nearest neighbours and their distance in Å.
Fractional coordinates of all 12 atoms:
Sn (0.3352, 0.1358, 0.2716)  2 Li 2.70
Sn (0.9364, 0.6358, 0.2716)  2 Li 2.70
Sn (0.0636, 0.3642, 0.7284)  2 Li 2.70
Sn (0.6648, 0.8642, 0.7284)  2 Li 2.70
Ce (0.5517, 0.3859, 0.7718)  2 H 2.41
Ce (0.2200, 0.8859, 0.7718)  2 H 2.41
Ce (0.7800, 0.1141, 0.2282)  2 H 2.41
Ce (0.4483, 0.6141, 0.2282)  2 H 2.41
H (0.5000, 0.2500, 0.0000)  4 Ce 2.41
H (0.5000, 0.7500, 0.0000)  4 Ce 2.41
Li (0.0000, 0.7500, 0.0000)  4 Sn 2.70
Li (0.0000, 0.2500, 0.0000)  4 Sn 2.70